No. 1
The following is a DFT calculation (PBE) of an optimized crystal structure of Sr2MnVFe.

```
Sr2MnVFe
1.0
5.7572 0.0000 0.0000
0.0000 5.7572 0.0000
0.0000 0.0000 4.2689
Sr Mn V Fe
2 1 1 1
direct
0.0000 0.5000 0.0000
0.5000 0.0000 0.0000
0.0000 0.0000 0.5000
0.5000 0.5000 0.5000
0.5000 0.5000 0.0000
```

Results
Mass density, Mg/m³: 4.0
Offset from the most stable computed form, kcal/mol of atoms: 0.00
Symmetry: No. 123
DOS(E_F), states/eV per cell: 7.8
DFT formation energy, meV/atom: 1334

=====

No. 2
The following is a DFT calculation (PBE) of an optimized crystal structure of CeNdCo.

```
CeNdCo
1.0
4.1951 0.0000 0.0000
-2.0975 3.6330 0.0000
0.0000 0.0000 4.8460
Ce Nd Co
1 1 1
direct
0.0000 0.0000 0.0000
0.3333 0.6667 0.5000
0.6667 0.3333 0.0000
```

Results
Mass density, Mg/m³: 7.7
Offset from the most stable computed form, kcal/mol of atoms: 2.81
Symmetry: No. 187
DOS(E_F), states/eV per cell: 5.3
DFT formation energy, meV/atom: -2

=====

No. 3
The following is a DFT calculation (PBE) of an optimized crystal structure of Y4TaTc.

```
Y4TaTc
1.0
0.0000 4.2238 4.2238
4.2238 0.0000 4.2238
4.2238 4.2238 0.0000
Y Ta Tc
4 1 1
direct
0.1250 0.1250 0.1250
0.1250 0.1250 0.6251
0.1250 0.6251 0.1250
0.6251 0.1250 0.1250
0.7500 0.7500 0.7500
0.5000 0.5000 0.5000
```

Results
Mass density, Mg/m³: 7.0
Symmetry: No. 216
DOS(E_F), states/eV per cell: 10.9
DFT formation energy, meV/atom: 1094